(1)
CsGdTeSe (PBE, optimized geometry); crystal system = hexagonal; energy above the lowest structure with this stoichiometry = 0.000 eV per atom; final energy = -4.5901 eV per atom; size of the total moment = 0.0 μB/f.u.
1.0
-3.1151 1.2082 -2.9027
-1.0129 -0.4155 4.2884
4.0569 16.6341 2.5698
Cs Gd Se Te
2 2 2 2
direct
0.0000 0.0000 0.0000
0.3333 0.6667 0.5000
0.6667 0.3333 0.2369
0.6667 0.3333 0.7631
0.3333 0.6667 0.1508
0.3333 0.6667 0.8492
0.0000 0.0000 0.3404
0.0000 0.0000 0.6596



(2)
CsGdZnTeSe2 (PBE, optimized geometry); crystal system = orthorhombic; final energy = -4.1309 eV per atom; size of the total moment = 0.0 μB/f.u.
1.0
2.1379 -8.4623 0.0000
2.1379 8.4623 0.0000
0.0000 0.0000 11.5434
Cs Gd Se Te Zn
2 2 4 2 2
direct
0.2357 0.7643 0.2500
0.7643 0.2357 0.7500
0.0000 0.0000 0.0000
0.0000 0.0000 0.5000
0.6071 0.3929 0.0702
0.6071 0.3929 0.4298
0.3929 0.6071 0.5702
0.3929 0.6071 0.9298
0.9269 0.0731 0.2500
0.0731 0.9269 0.7500
0.5280 0.4720 0.2500
0.4720 0.5280 0.7500